! NaRu2RhO8 (GGA-PBE, optimized geometry); values from VASP
! Total magnetization (μB per cell): 0.000
! Raw formation energy (eV/f.u.): -8.96
&SYSTEM
  ibrav = 0, nat = 12, ntyp = 4
/
ATOMIC_SPECIES
Na 22.99 Na.upf
Ru 101.07 Ru.upf
Rh 102.91 Rh.upf
O 16.00 O.upf
CELL_PARAMETERS angstrom
4.9298 0.0000 0.0000
0.0000 4.9298 0.0000
-2.4649 -2.4649 6.6768
ATOMIC_POSITIONS crystal
Na 0.0000 0.0000 0.0000
Ru 0.5000 0.5000 0.0000
Ru 0.2500 0.7500 0.5000
Rh 0.7500 0.2500 0.5000
O 0.7634 0.7983 0.1459
O 0.3825 0.3476 0.1459
O 0.5701 0.5980 0.6188
O 0.0488 0.0208 0.6188
O 0.9792 0.4299 0.3812
O 0.4020 0.9512 0.3812
O 0.2017 0.6175 0.8541
O 0.6524 0.2366 0.8541



! Ca2CuAgAu6 (GGA-PBE, optimized geometry); values from VASP
! Total magnetization (μB per cell): 0.000
! Raw total energy (hartree per atom): -0.1153
&SYSTEM
  ibrav = 0, nat = 10, ntyp = 4
/
ATOMIC_SPECIES
Ca 40.08 Ca.upf
Cu 63.55 Cu.upf
Ag 107.87 Ag.upf
Au 196.97 Au.upf
CELL_PARAMETERS angstrom
7.0686 -0.0004 0.0000
0.0004 7.0686 0.0000
3.5345 3.5341 4.9983
ATOMIC_POSITIONS crystal
Ca 0.2500 0.7500 0.5000
Ca 0.7500 0.2500 0.5000
Cu 0.0000 0.0000 0.0000
Ag 0.5000 0.5000 0.0000
Au 0.2412 0.7588 0.0000
Au 0.7588 0.7588 0.0000
Au 0.2412 0.2412 0.5176
Au 0.7588 0.2412 0.0000
Au 0.2412 0.2412 0.0000
Au 0.7588 0.7588 0.4824



! PaTaC (GGA-PBE, optimized geometry); values from VASP
! Total magnetization (μB per cell): 0.000
! Distance to the lowest polymorph of the same formula (eV/atom): 0.000
&SYSTEM
  ibrav = 0, nat = 3, ntyp = 3
/
ATOMIC_SPECIES
C 12.01 C.upf
Pa 231.04 Pa.upf
Ta 180.95 Ta.upf
CELL_PARAMETERS angstrom
3.2061 0.0000 0.0000
-1.6031 2.7766 0.0000
0.0000 0.0000 5.7151
ATOMIC_POSITIONS crystal
C 0.6667 0.3333 0.3664
Pa 0.0000 0.0000 0.0708
Ta 0.3333 0.6667 0.5628



! TlFe2Si2 (GGA-PBE, optimized geometry); values from VASP
! Total magnetization (μB per cell): 0.000
! Distance to the lowest polymorph of the same formula (eV/atom): 0.146
! Raw formation energy (eV/f.u.): 0.67
&SYSTEM
  ibrav = 0, nat = 10, ntyp = 3
/
ATOMIC_SPECIES
Tl 204.38 Tl.upf
Si 28.09 Si.upf
Fe 55.84 Fe.upf
CELL_PARAMETERS angstrom
6.9460 0.0000 0.0000
0.0000 6.9460 0.0000
0.0000 0.0000 2.8330
ATOMIC_POSITIONS crystal
Tl 0.0000 0.0000 0.0000
Tl 0.5000 0.5000 0.0000
Si 0.1359 0.6359 0.5000
Si 0.6359 0.8641 0.5000
Si 0.8641 0.3641 0.5000
Si 0.3641 0.1359 0.5000
Fe 0.3517 0.8517 0.0000
Fe 0.8517 0.6483 0.0000
Fe 0.6483 0.1483 0.0000
Fe 0.1483 0.3517 0.0000